BeCo2Pt2 PBE optimized geometry; DFT formation energy = -38 meV per atom; space-group type = No. 127
1.0
-3.4645 -0.3291 4.7033
-3.6569 -3.4965 -2.9384
2.0400 -3.2078 1.2783
Be Co Pt
2 4 4
Cartesian
0.0000 0.0000 0.0000 Be
-3.5607 -1.9128 0.8825 Be
-1.8605 -3.9173 -0.5693 Co
-4.3407 -4.7970 1.1813 Co
-3.2209 -3.1161 3.6125 Co
-0.7407 -2.2364 1.8619 Co
-4.2769 -3.0635 -0.8624 Pt
-5.3230 -2.5720 2.0406 Pt
-2.8445 -0.7620 2.6273 Pt
-1.7984 -1.2535 -0.2757 Pt

---

BeCo2Pt PBE optimized geometry; DFT formation energy = 4 meV per atom; space-group type = No. 166
1.0
-3.8615 -0.4242 7.0976
-3.6109 -2.9748 6.6015
-1.6591 -1.6688 7.7415
Be Co Pt
1 2 1
Cartesian
-6.8487 -3.8008 16.0804 Be
-0.0814 -0.0452 0.1912 Co
-4.4844 -2.4887 10.5291 Co
-2.2829 -1.2669 5.3601 Pt

---

BeCo2Pt PBE optimized geometry; DFT formation energy = -169 meV per atom; space-group type = No. 139
1.0
-3.6069 -2.6964 -1.0041
0.0624 -2.0530 -4.1317
2.9301 0.4663 3.5336
Be Co Pt
1 2 1
Cartesian
-1.2246 -2.3024 -0.0192 Be
0.0000 0.0000 0.0000 Co
-1.7723 -2.3747 -2.5679 Co
0.6101 -1.9807 -1.5830 Pt

---

BeCo2Pt PBE optimized geometry; DFT formation energy = -178 meV per atom; space-group type = No. 38
1.0
3.6274 0.0000 0.0000
0.0000 2.6428 -0.0943
0.0000 1.4896 4.7756
Be Co Pt
1 2 1
Cartesian
1.8137 3.5928 3.4031 Be
0.0000 2.1503 0.0039 Co
1.8137 0.8594 0.9721 Co
0.0000 2.2388 2.5485 Pt

---

BeCoPt2 PBE optimized geometry; DFT formation energy = -303 meV per atom; space-group type = No. 47
1.0
2.7527 0.0000 0.0000
0.0000 3.3743 0.0000
0.0000 0.0000 5.5239
Be Co Pt
1 1 2
Cartesian
1.3764 1.6872 1.3810 Be
1.3764 1.6872 4.1429 Co
0.0000 0.0000 0.0466 Pt
0.0000 0.0000 2.7153 Pt

---

BeCoPt2 PBE optimized geometry; DFT formation energy = -21 meV per atom; space-group type = No. 216
1.0
4.2369 0.0000 0.0000
2.1184 3.6693 0.0000
2.1184 1.2231 3.4594
Be Co Pt
1 1 2
Cartesian
4.2369 2.4462 1.7297 Be
2.1184 1.2231 0.8649 Co
0.0000 0.0000 0.0000 Pt
6.3553 3.6693 2.5946 Pt

---

BeCo2Pt2 PBE optimized geometry; DFT formation energy = 44 meV per atom; space-group type = No. 127
1.0
-1.0179 -5.3644 -1.3587
1.4875 -1.5959 5.1865
-3.8118 0.4141 1.2206
Be Co Pt
2 4 4
Cartesian
0.0000 0.0000 0.0000 Be
0.2348 -3.4802 1.9139 Be
0.9130 -3.3072 3.9731 Co
0.0754 -5.6367 2.1476 Co
-0.4434 -3.6532 -0.1454 Co
0.3942 -1.3237 1.6802 Co
-1.0826 -1.7702 3.8521 Pt
-1.3518 -4.7096 4.0085 Pt
-2.2596 -4.7760 1.1963 Pt
-1.9904 -1.8367 1.0399 Pt

---

BeCoPt PBE optimized geometry; DFT formation energy = -186 meV per atom; space-group type = No. 62
1.0
3.8261 0.0000 0.0000
0.0000 5.3217 0.0000
0.0000 0.0000 7.3418
Pt Be Co
4 4 4
Cartesian
2.8696 5.2291 1.0701 Pt
0.9565 2.5683 2.6007 Pt
0.9565 0.0926 6.2716 Pt
2.8696 2.7534 4.7410 Pt
2.8696 3.7654 2.7235 Be
0.9565 1.1046 0.9474 Be
0.9565 1.5563 4.6183 Be
2.8696 4.2171 6.3943 Be
2.8696 2.5332 0.6531 Co
0.9565 5.1940 3.0178 Co
0.9565 2.7885 6.6887 Co
2.8696 0.1277 4.3240 Co

---

BeCo2Pt2 PBE optimized geometry; DFT formation energy = 65 meV per atom; space-group type = No. 139
1.0
-5.3400 4.8511 1.0115
-3.8243 5.3881 -3.0684
3.1186 -6.5773 0.2929
Be Co Pt
1 2 2
Cartesian
0.0000 0.0000 0.0000 Be
-2.6439 1.9652 -1.9020 Co
-3.4018 1.6967 0.1380 Co
-5.4580 6.0982 -1.2250 Pt
-3.7063 4.1410 -0.8318 Pt

---

BeCoPt2 PBE optimized geometry; DFT formation energy = -319 meV per atom; space-group type = No. 99
1.0
-0.7923 2.6364 0.1764
-1.0527 -0.1461 -2.5456
-5.7869 -1.9065 2.5025
Be Co Pt
1 1 2
Cartesian
-2.9449 -0.9702 1.2735 Be
-5.0520 -0.1153 0.6012 Co
-5.6356 -1.8566 2.4371 Pt
-2.6797 0.6662 -0.4247 Pt

---

BeCoPt2 PBE optimized geometry; DFT formation energy = 151 meV per atom; space-group type = No. 122
1.0
-2.2698 -2.9847 -0.5482
-0.2140 -0.5255 3.7468
-7.7215 3.1151 1.9123
Be Co Pt
2 2 4
Cartesian
-1.2419 -1.7551 1.5993 Be
-4.5887 0.4173 3.6292 Be
0.0000 0.0000 0.0000 Co
-5.6166 -0.8123 1.4817 Co
-3.3597 -1.1313 0.6077 Pt
-2.3638 0.0562 2.7474 Pt
-6.7240 1.0163 2.6601 Pt
-7.9629 -0.7313 4.2066 Pt

---

BeCo2Pt PBE optimized geometry; DFT formation energy = -167 meV per atom; space-group type = No. 8
1.0
4.3937 -0.0045 0.0033
3.5606 2.5742 0.0033
1.3698 0.4425 4.0811
Be Co Pt
1 2 1
Cartesian
2.4546 0.7930 1.1678 Be
9.1622 2.9599 3.9330 Co
6.9808 2.2552 3.3108 Co
4.7125 1.5224 1.8076 Pt

---

Results for Fermi-level density of states: 3.3 3.4 4.2 4.2 3.9 2.8 5.4 1.7 5.3 2.0 6.1 4.0 (in states/eV/f.u., following the order of the records).
Results for M_tot: 8.47 2.86 3.36 3.37 2.35 2.24 6.51 6.35 3.72 1.87 4.07 3.16 (in μB per cell, following the order of the records).